Density functional theory data (PBE) for a relaxed Ta3In2I9 crystal.

a = 12.0319 Å, b = 17.9531 Å, c = 11.0025 Å
α = 90.00°, β = 116.83°, γ = 90.00°
Closest atoms and distances in Å follow each position.
Space group C2/m (No. 12)
Inequivalent atoms, fractional coordinates:
Ta1 0.1040 0.0000 0.3900 (multiplicity 4)  4 I 2.81-2.82, 4 Ta 2.96
Ta2 0.1165 0.0822 0.6294 (multiplicity 8)  4 I 2.82-2.83, 4 Ta 2.95-2.96
In1 0.1038 0.3415 0.8394 (multiplicity 8)  4 I 3.36-3.75
I1 0.0000 0.2165 0.5000 (multiplicity 4)  2 Ta 2.83
I2 0.0172 0.1074 0.8138 (multiplicity 8)  2 Ta 2.81-2.82
I3 0.1909 0.5000 0.1613 (multiplicity 4)  2 Ta 2.83
I4 0.2009 0.2901 0.1680 (multiplicity 8)  1 Ta 3.26, 2 In 3.36-3.39
I5 0.2119 0.3914 0.4753 (multiplicity 8)  2 Ta 2.82
I6 0.2324 0.5000 0.7789 (multiplicity 4)  1 Ta 3.26, 2 In 3.44

Results
Total magnetization: 0.000 μB/cell
Raw formation energy: -432 meV/atom

Density functional theory data (PBE) for a relaxed BeHgS2 crystal.

a = 7.5227 Å, b = 10.6394 Å, c = 5.6735 Å
α = 90.00°, β = 118.41°, γ = 90.00°
Closest atoms and distances in Å follow each position.
Space group C2/c (No. 15)
Inequivalent atoms, fractional coordinates:
Be1 0.0000 0.0075 0.2500 (multiplicity 4)  4 S 2.11-2.14
Hg1 0.0000 0.3832 0.2500 (multiplicity 4)  2 S 2.37
S1 0.1468 0.1168 0.6014 (multiplicity 8)  2 Be 2.11-2.14

Results
Total magnetization: 0.000 μB/cell
DOS(E_F): 0.000 states/eV per cell
Raw formation energy: -487 meV/atom

Density functional theory data (PBE) for a relaxed TiGaCoTc crystal.

a = 6.0181 Å, b = 6.0181 Å, c = 6.0181 Å
α = 90.00°, β = 90.00°, γ = 90.00°
Closest atoms and distances in Å follow each position.
Space group F-43m (No. 216)
Inequivalent atoms, fractional coordinates:
Ti1 0.0000 0.0000 0.0000 (multiplicity 4)  4 Co 2.61, 4 Tc 2.61
Ga1 0.0000 0.0000 0.5000 (multiplicity 4)  4 Tc 2.61, 4 Co 2.61
Co1 0.2500 0.2500 0.7500 (multiplicity 4)  4 Ga 2.61, 4 Ti 2.61
Tc1 0.2500 0.2500 0.2500 (multiplicity 4)  4 Ti 2.61, 4 Ga 2.61

Results
Formation energy from the elements: -366 meV per atom
Total magnetization: 1.306 μB/cell
DOS(E_F): 21.729 states/eV per cell

Density functional theory data (PBE) for a relaxed DyMnZn10 crystal.

a = 4.2914 Å, b = 5.1239 Å, c = 9.0049 Å
α = 90.00°, β = 90.00°, γ = 90.00°
Closest atoms and distances in Å follow each position.
Space group Pmmm (No. 47)
Inequivalent atoms, fractional coordinates:
Dy1 0.0000 0.0000 0.0000 (multiplicity 1)  18 Zn 3.09-3.34
Mn1 0.0000 0.5000 0.5000 (multiplicity 1)  6 Zn 2.78-2.91
Zn1 0.0000 0.0000 0.3460 (multiplicity 2)  7 Zn 2.55-2.77
Zn2 0.0000 0.5000 0.1910 (multiplicity 2)  6 Zn 2.56-2.75, 1 Mn 2.78
Zn3 0.5000 0.0000 0.5000 (multiplicity 1)  8 Zn 2.55-2.61
Zn4 0.5000 0.2454 0.2461 (multiplicity 4)  8 Zn 2.51-2.64
Zn5 0.5000 0.5000 0.0000 (multiplicity 1)  8 Zn 2.57-2.75

Results
Formation energy from the elements: -54 meV per atom
Total magnetization: 4.030 μB/cell
DOS(E_F): 4.862 states/eV per cell

Density functional theory data (PBE) for a relaxed K2LiCrCl6 crystal.

a = 6.9833 Å, b = 6.9833 Å, c = 6.1177 Å
α = 90.00°, β = 90.00°, γ = 120.00°
Closest atoms and distances in Å follow each position.
Space group P-3m1 (No. 164)
Inequivalent atoms, fractional coordinates:
K1 0.3333 0.6667 0.3039 (multiplicity 2)  9 Cl 3.35-3.50
Li1 0.0000 0.0000 0.0000 (multiplicity 1)  6 Cl 2.53
Cr1 0.0000 0.0000 0.5000 (multiplicity 1)  6 Cl 2.37
Cl1 0.1579 0.3157 0.7282 (multiplicity 6)  1 Cr 2.37, 1 Li 2.53

Results
Total magnetization: 3.000 μB/cell
DOS(E_F): 0.000 states/eV per cell
Raw formation energy: -1620 meV/atom

Density functional theory data (PBE) for a relaxed CuBi2S4 crystal.

a = 6.9534 Å, b = 5.7167 Å, c = 8.5670 Å
α = 90.00°, β = 104.10°, γ = 90.00°
Closest atoms and distances in Å follow each position.
Space group P2_1/m (No. 11)
Inequivalent atoms, fractional coordinates:
Cu1 0.1622 0.2500 0.3431 (multiplicity 2)  3 S 2.20-2.22
Bi1 0.2548 0.7500 0.0349 (multiplicity 2)  3 S 2.71-2.78
Bi2 0.3153 0.7500 0.6004 (multiplicity 2)  2 S 2.59-2.72
S1 0.0466 0.0167 0.7903 (multiplicity 4)  1 Cu 2.22
S2 0.3989 0.2500 0.5674 (multiplicity 2)  1 Cu 2.20
S3 0.4374 0.2500 0.1193 (multiplicity 2)  2 Bi 2.59-2.78

Results
Total magnetization: 0.000 μB/cell
DOS(E_F): 3.393 states/eV per cell
Raw formation energy: -203 meV/atom

Asked for E across the records above, the calculation gives -244.15, -56.93, -119.42, -27.16, -41.01, -59.57 eV for the cell shown in order.